The following is a DFT calculation (PBE) of a relaxed EuYCu2 crystal.

Cell: 5.014 5.014 5.014 Å, 60.00 60.00 60.00°
Sites, in units of the cell vectors:
1 Cu 0.250 0.250 0.250
2 Cu 0.750 0.750 0.750
3 Eu 0.000 0.000 0.000
4 Y 0.500 0.500 0.500

Output
E above lowest polymorph (meV per atom): 41.8
Space group: Fm-3m (225)
Formation enthalpy at 0 K (eV/atom): -0.1202


The following is a DFT calculation (PBE) of a relaxed LaTcSbW2 crystal.

Cell: 4.850 5.115 4.850 Å, 90.00 90.00 90.00°
Sites, in units of the cell vectors:
1 La 0.500 0.500 0.500
2 Sb 0.000 0.500 0.000
3 Tc 0.000 0.000 0.000
4 W 0.000 0.000 0.500
5 W 0.500 0.000 0.000

Output
Space group: P4/mmm (123)
Formation energy from raw total energies (kJ/mol of atoms): 99.4


The following is a DFT calculation (PBE) of a relaxed Mg2Br crystal.

Cell: 5.826 5.826 5.801 Å, 90.00 90.00 120.00°
Sites, in units of the cell vectors:
1 Mg 0.000 0.000 0.500
2 Mg 0.333 0.667 0.750
3 Mg 0.667 0.333 0.250
4 Mg 0.000 0.000 0.000
5 Br 0.667 0.333 0.750
6 Br 0.333 0.667 0.250

Output
E above lowest polymorph (meV per atom): 391.3
Space group: P6_3/mmc (194)
Formation energy from raw total energies (kJ/mol of atoms): -11.9


The following is a DFT calculation (PBE) of a relaxed CsAsBr6 crystal.

Cell: 7.495 7.495 7.768 Å, 61.16 61.16 60.00°
Sites, in units of the cell vectors:
1 Br 0.919 0.919 0.775
2 Br 0.081 0.081 0.225
3 Br 0.919 0.388 0.775
4 Br 0.388 0.919 0.775
5 Br 0.081 0.612 0.225
6 Br 0.612 0.081 0.225
7 Cs 0.500 0.500 0.500
8 As 0.000 0.000 0.000

Output
Space group: R-3m (166)
Formation energy from raw total energies (kJ/mol of atoms): -54.5


The following is a DFT calculation (PBE) of a relaxed KBa crystal.

Cell: 4.533 7.440 8.141 Å, 90.00 90.00 90.00°
Sites, in units of the cell vectors:
1 Ba 0.000 0.000 0.986
2 Ba 0.500 0.500 0.847
3 K 0.000 0.500 0.338
4 K 0.500 0.000 0.496

Output
Space group: Pmmn (59)
Formation enthalpy at 0 K (eV/atom): 0.0949


The following is a DFT calculation (PBE) of a relaxed Tb3DyHo6Sc2 crystal.

Cell: 6.051 6.051 11.554 Å, 95.00 95.00 119.95°
Sites, in units of the cell vectors:
1 Ho 0.081 0.417 0.244
2 Ho 0.583 0.919 0.756
3 Ho 0.255 0.255 0.756
4 Ho 0.745 0.745 0.244
5 Ho 0.919 0.583 0.756
6 Ho 0.417 0.081 0.244
7 Tb 0.500 0.500 0.500
8 Tb 0.167 0.833 0.500
9 Tb 0.833 0.167 0.500
10 Dy 0.000 0.000 0.000
11 Sc 0.333 0.667 0.000
12 Sc 0.667 0.333 0.000

Output
Space group: C2/m (12)
Formation enthalpy at 0 K (eV/atom): 0.0357


The following is a DFT calculation (PBE) of a relaxed Li2Ru2W crystal.

Cell: 6.708 6.708 2.981 Å, 90.00 90.00 90.00°
Sites, in units of the cell vectors:
1 Ru 0.648 0.148 0.000
2 Ru 0.148 0.352 0.000
3 Ru 0.852 0.648 0.000
4 Ru 0.352 0.852 0.000
5 Li 0.149 0.649 0.500
6 Li 0.351 0.149 0.500
7 Li 0.649 0.851 0.500
8 Li 0.851 0.351 0.500
9 W 0.000 0.000 0.000
10 W 0.500 0.500 0.000

Output
E above lowest polymorph (meV per atom): 131.3
Space group: P4/mbm (127)
Formation enthalpy at 0 K (eV/atom): 0.4786


The following is a DFT calculation (PBE) of a relaxed Nb3PSe crystal.

Cell: 4.661 4.661 4.661 Å, 90.00 90.00 90.00°
Sites, in units of the cell vectors:
1 Nb 0.000 0.000 0.500
2 Nb 0.000 0.500 0.000
3 Nb 0.500 0.000 0.000
4 Se 0.500 0.500 0.500
5 P 0.000 0.000 0.000

Output
E above lowest polymorph (meV per atom): 0.0
Space group: Pm-3m (221)
Formation energy from raw total energies (kJ/mol of atoms): 33.4


The following is a DFT calculation (PBE) of a relaxed Mg2HgPt2 crystal.

Cell: 7.674 7.674 3.031 Å, 90.00 90.00 90.00°
Sites, in units of the cell vectors:
1 Hg 0.500 0.500 0.000
2 Hg 0.000 0.000 0.000
3 Mg 0.156 0.656 0.500
4 Mg 0.656 0.844 0.500
5 Mg 0.344 0.156 0.500
6 Mg 0.844 0.344 0.500
7 Pt 0.640 0.140 0.000
8 Pt 0.360 0.860 0.000
9 Pt 0.140 0.360 0.000
10 Pt 0.860 0.640 0.000

Output
E above lowest polymorph (meV per atom): 0.0
Space group: P4/mbm (127)
Formation enthalpy at 0 K (eV/atom): -0.6080


The following is a DFT calculation (PBE) of a relaxed KCdIn4 crystal.

Cell: 4.978 7.767 9.337 Å, 90.00 105.46 90.00°
Sites, in units of the cell vectors:
1 In 0.060 0.750 0.119
2 In 0.329 0.053 0.658
3 In 0.500 0.000 0.000
4 In 0.500 0.500 0.000
5 In 0.671 0.947 0.342
6 In 0.329 0.447 0.658
7 In 0.940 0.250 0.881
8 In 0.671 0.553 0.342
9 Cd 0.227 0.750 0.454
10 Cd 0.773 0.250 0.546
11 K 0.128 0.250 0.256
12 K 0.872 0.750 0.744

Output
E above lowest polymorph (meV per atom): 0.0
Space group: Cmcm (63)
Formation enthalpy at 0 K (eV/atom): -0.0704


The following is a DFT calculation (PBE) of a relaxed AcNd2PaAs4 crystal.

Cell: 6.064 6.064 7.434 Å, 114.07 114.07 90.00°
Sites, in units of the cell vectors:
1 Pa 0.750 0.250 0.500
2 As 0.245 0.245 0.489
3 As 0.755 0.755 0.511
4 As 0.512 0.012 0.025
5 As 0.988 0.488 0.975
6 Nd 0.000 0.000 0.000
7 Nd 0.250 0.750 0.500
8 Ac 0.500 0.500 0.000

Output
Space group: I-4m2 (119)
Formation enthalpy at 0 K (eV/atom): -1.3419


The following is a DFT calculation (PBE) of a relaxed Nd5Cd2Hg crystal.

Cell: 5.426 6.800 13.221 Å, 90.00 90.00 90.00°
Sites, in units of the cell vectors:
1 Cd 0.500 0.629 0.636
2 Cd 0.500 0.129 0.864
3 Cd 0.500 0.371 0.364
4 Cd 0.500 0.871 0.136
5 Nd 0.500 0.346 0.112
6 Nd 0.000 0.000 0.000
7 Nd 0.000 0.500 0.500
8 Nd 0.000 0.350 0.776
9 Nd 0.000 0.150 0.276
10 Nd 0.500 0.654 0.888
11 Nd 0.000 0.850 0.724
12 Nd 0.000 0.650 0.224
13 Nd 0.500 0.846 0.388
14 Nd 0.500 0.154 0.612
15 Hg 0.000 0.000 0.500
16 Hg 0.000 0.500 0.000

Output
E above lowest polymorph (meV per atom): 0.0
Space group: Pbam (55)
Formation enthalpy at 0 K (eV/atom): -0.2412


The following is a DFT calculation (PBE) of a relaxed ZrRe2Sb crystal.

Cell: 5.480 5.480 5.480 Å, 144.33 131.79 61.40°
Sites, in units of the cell vectors:
1 Re 0.752 0.252 0.500
2 Re 0.991 0.991 0.000
3 Sb 0.510 0.510 0.000
4 Zr 0.247 0.747 0.500

Output
Space group: Imm2 (44)
Formation energy from raw total energies (kJ/mol of atoms): 13.4


The following is a DFT calculation (PBE) of a relaxed HfAl3In crystal.

Cell: 5.327 5.327 5.327 Å, 90.00 90.00 90.00°
Sites, in units of the cell vectors:
1 In 0.500 0.500 0.500
2 Al 0.500 0.000 0.000
3 Al 0.000 0.500 0.000
4 Al 0.000 0.000 0.500
5 Hf 0.000 0.000 0.000

Output
E above lowest polymorph (meV per atom): 0.0
Space group: Pm-3m (221)
Formation enthalpy at 0 K (eV/atom): 0.8626


The following is a DFT calculation (PBE) of a relaxed Sc3Cr crystal.

Cell: 3.209 3.209 9.594 Å, 90.00 90.00 120.00°
Sites, in units of the cell vectors:
1 Cr 0.000 0.000 0.000
2 Sc 0.333 0.667 0.219
3 Sc 0.333 0.667 0.781
4 Sc 0.000 0.000 0.500

Output
Space group: P-6m2 (187)
Formation enthalpy at 0 K (eV/atom): 0.2520


The following is a DFT calculation (PBE) of a relaxed Pr3SmEr2Te6 crystal.

Cell: 4.388 9.016 10.001 Å, 104.45 102.67 90.00°
Sites, in units of the cell vectors:
1 Pr 0.838 0.169 0.676
2 Pr 0.500 0.500 0.000
3 Pr 0.162 0.831 0.324
4 Te 0.667 0.095 0.335
5 Te 0.671 0.573 0.343
6 Te 0.994 0.752 0.989
7 Te 0.333 0.905 0.665
8 Te 0.329 0.427 0.657
9 Te 0.006 0.248 0.011
10 Er 0.835 0.670 0.670
11 Er 0.165 0.330 0.330
12 Sm 0.500 0.000 0.000

Output
Space group: C2/m (12)
Formation energy from raw total energies (kJ/mol of atoms): -131.3


The following is a DFT calculation (PBE) of a relaxed MgSe2Br crystal.

Cell: 10.165 10.165 10.165 Å, 158.44 158.44 30.68°
Sites, in units of the cell vectors:
1 Mg 0.750 0.250 0.500
2 Se 0.000 0.000 0.000
3 Se 0.250 0.750 0.500
4 Br 0.500 0.500 0.000

Output
E above lowest polymorph (meV per atom): 419.2
Space group: I-4m2 (119)
Formation energy from raw total energies (kJ/mol of atoms): -23.3


The following is a DFT calculation (PBE) of a relaxed CsMgSe crystal.

Cell: 4.068 9.015 5.673 Å, 101.12 90.00 90.00°
Sites, in units of the cell vectors:
1 Cs 0.750 0.354 0.710
2 Cs 0.250 0.646 0.290
3 Mg 0.750 0.027 0.253
4 Mg 0.250 0.973 0.747
5 Se 0.250 0.208 0.127
6 Se 0.750 0.792 0.873

Output
E above lowest polymorph (meV per atom): 0.0
Space group: P2_1/m (11)
Formation energy from raw total energies (kJ/mol of atoms): -78.9


The following is a DFT calculation (PBE) of a relaxed Na2ThUSe4 crystal.

Cell: 4.149 7.205 7.561 Å, 108.40 90.00 90.00°
Sites, in units of the cell vectors:
1 Se 0.000 0.256 0.762
2 Se 0.500 0.751 0.758
3 Se 0.500 0.249 0.242
4 Se 0.000 0.744 0.238
5 Na 0.500 0.000 0.500
6 Na 0.000 0.500 0.500
7 U 0.500 0.500 0.000
8 Th 0.000 0.000 0.000

Output
Space group: P2/m (10)
Formation energy from raw total energies (kJ/mol of atoms): -128.3


The following is a DFT calculation (PBE) of a relaxed In2Ga4Ag5 crystal.

Cell: 5.683 6.503 7.556 Å, 63.08 67.91 64.09°
Sites, in units of the cell vectors:
1 Ag 0.352 0.693 0.104
2 Ag 0.648 0.307 0.896
3 Ag 0.851 0.693 0.104
4 Ag 0.149 0.307 0.896
5 Ag 0.000 0.500 0.500
6 Ga 0.742 0.760 0.755
7 Ga 0.258 0.240 0.245
8 Ga 0.418 0.739 0.424
9 Ga 0.582 0.261 0.576
10 In 0.158 0.962 0.721
11 In 0.842 0.038 0.279

Output
Space group: C2/m (12)
Formation enthalpy at 0 K (eV/atom): 0.0339


The following is a DFT calculation (PBE) of a relaxed Ca2TaNbN crystal.

Cell: 5.879 4.703 5.879 Å, 90.00 90.00 90.00°
Sites, in units of the cell vectors:
1 Nb 0.000 0.000 0.000
2 Ca 0.000 0.000 0.500
3 Ca 0.500 0.000 0.000
4 N 0.500 0.500 0.500
5 Ta 0.000 0.500 0.000

Output
Space group: P4/mmm (123)
Formation energy from raw total energies (kJ/mol of atoms): 191.2


The following is a DFT calculation (PBE) of a relaxed KAlTc2 crystal.

Cell: 5.860 5.860 5.860 Å, 150.11 126.92 62.11°
Sites, in units of the cell vectors:
1 K 0.237 0.737 0.500
2 Tc 0.955 0.955 0.000
3 Tc 0.771 0.271 0.500
4 Al 0.537 0.537 0.000

Output
Space group: Imm2 (44)
Formation enthalpy at 0 K (eV/atom): 0.9374


The following is a DFT calculation (PBE) of a relaxed CeAg5 crystal.

Cell: 3.209 5.084 7.952 Å, 108.64 90.00 90.00°
Sites, in units of the cell vectors:
1 Ag 0.000 0.657 0.314
2 Ag 0.500 0.500 0.000
3 Ag 0.500 0.186 0.372
4 Ag 0.500 0.814 0.628
5 Ag 0.000 0.343 0.686
6 Ce 0.000 0.000 0.000

Output
Space group: Cmmm (65)
Formation enthalpy at 0 K (eV/atom): 0.0510


Number 1: electronic total energy -0.467 Ry/atom. Number 2: electronic total energy -0.591 Ry/atom. Number 3: electronic total energy -0.128 Ry/atom. Number 4: electronic total energy -0.184 Ry/atom. Number 5: electronic total energy -0.104 Ry/atom. Number 6: electronic total energy -0.356 Ry/atom. Number 7: electronic total energy -0.484 Ry/atom. Number 8: electronic total energy -0.549 Ry/atom. Number 9: electronic total energy -0.274 Ry/atom. Number 10: electronic total energy -0.164 Ry/atom. Number 11: electronic total energy -0.482 Ry/atom. Number 12: electronic total energy -0.256 Ry/atom. Number 13: electronic total energy -0.680 Ry/atom. Number 14: electronic total energy -0.288 Ry/atom. Number 15: electronic total energy -0.507 Ry/atom. Number 16: electronic total energy -0.388 Ry/atom. Number 17: electronic total energy -0.206 Ry/atom. Number 18: electronic total energy -0.205 Ry/atom. Number 19: electronic total energy -0.422 Ry/atom. Number 20: electronic total energy -0.210 Ry/atom. Number 21: electronic total energy -0.358 Ry/atom. Number 22: electronic total energy -0.401 Ry/atom. Number 23: electronic total energy -0.244 Ry/atom.